{"formula": "Sr2MgHg2", "functional": "GGA-PBEsol", "state": "relaxed", "lattice": [[-2.350, -0.571, -3.672], [-4.140, -6.256, 3.624], [-5.695, 5.394, 2.806]], "species": ["Sr", "Mg", "Sr", "Hg", "Hg", "Sr", "Hg", "Sr", "Hg", "Mg"], "fractional_positions": [[0.500, 0.667, 0.833], [0.000, 0.000, 0.000], [0.500, 0.167, 0.667], [0.000, 0.634, 0.134], [0.000, 0.866, 0.634], [0.500, 0.333, 0.167], [0.000, 0.134, 0.366], [0.500, 0.833, 0.333], [0.000, 0.366, 0.866], [0.000, 0.500, 0.500]], "vol_a3_per_atom": 30.52, "formation_enthalpy_0k_mev_per_atom": -434}